Material: TaSb2P
Method: DFT, PBE
State: optimized geometry

Unit cell a=7.920 b=7.920 c=7.920 alpha=26.09 beta=26.09 gamma=26.09
Positions (direct):
Ta: 0.000 0.000 0.000
Sb: 0.246 0.246 0.246
Sb: 0.754 0.754 0.754
P: 0.500 0.500 0.500

Calculated values
formation energy (no corrections) = 0.34 eV/atom
D(E_F) = 0.74 states/eV/atom
uncorrected energy = -6.036 eV per atom